{"formula": "TlInPO2", "functional": "PBE-GGA", "state": "relaxed", "lattice_angstrom": [[-3.307, 0.307, -2.384], [-0.942, -7.251, 0.372], [-2.345, 0.475, 3.315]], "species": ["In", "Tl", "O", "O", "P"], "fractional_positions": [[0.000, 0.500, 0.000], [0.000, 0.000, 0.000], [0.000, 0.000, 0.500], [0.500, 0.000, 0.000], [0.500, 0.500, 0.500]], "vol_a3_per_cell": 122, "crystal_system": "tetragonal", "total_magnetization_mub_per_cell": 1.16, "relative_energy_ev_per_fu": 2.83}